Crystalline HfHg2W at its relaxed geometry, computed with GGA-PBE.

The structure in extended XYZ format:
```
8
Lattice="4.052 0.000 0.000 0.000 4.052 0.000 2.026 2.026 10.478" Properties=species:S:1:pos:R:3 pbc="T T T"
Hg 5.065 5.105 7.859
Hg 3.079 1.013 2.620
W 0.000 0.000 0.000
Hg 3.039 2.999 7.859
W 4.052 2.026 5.239
Hf 2.026 2.026 0.000
Hf 2.026 4.052 5.239
Hg 0.973 3.039 2.620
```

Computed properties:
**Relative energy among the computed polymorphs**: 139 meV/atom
**Formation energy from the elements**: 0.751 eV per atom



Crystalline NdTh2Si at its relaxed geometry, computed with GGA-PBE.

The structure in extended XYZ format:
```
4
Lattice="3.837 0.000 0.000 1.919 3.323 0.000 1.919 1.108 10.472" Properties=species:S:1:pos:R:3 pbc="T T T"
Si 3.837 2.215 5.236
Th 5.756 3.323 3.428
Nd 0.000 0.000 0.000
Th 1.919 1.108 7.043
```

Computed properties:
**E_form (uncorrected)**: 66.9 meV/atom



Crystalline LiHoZnPd at its relaxed geometry, computed with GGA-PBE.

The structure in extended XYZ format:
```
4
Lattice="-0.498 0.748 -4.583 2.494 -2.497 -3.059 -2.107 -3.198 -2.673" Properties=species:S:1:pos:R:3 pbc="T T T"
Pd -0.028 -1.237 -2.579
Li -0.084 -3.710 -7.736
Zn 0.000 0.000 0.000
Ho -0.056 -2.474 -5.157
```

Computed properties:
**Formation energy from the elements**: -0.452 eV per atom



Crystalline NdDy4Mg5 at its relaxed geometry, computed with GGA-PBE.

The structure in extended XYZ format:
```
10
Lattice="-2.697 -1.209 -2.388 2.675 -1.092 -2.468 0.496 -17.250 8.171" Properties=species:S:1:pos:R:3 pbc="T T T"
Dy 0.199 -6.925 3.281
Mg 0.139 -6.373 0.046
Dy 0.395 -13.723 6.501
Mg 0.335 -13.178 3.269
Mg 0.432 -16.577 4.879
Dy 0.297 -10.325 4.891
Dy 0.101 -3.527 1.671
Nd 0.000 0.000 0.000
Mg 0.237 -9.776 1.657
Mg 0.041 -2.974 -1.564
```

Computed properties:
**Formation energy from the elements**: -0.084 eV per atom



Crystalline Al2PtCl at its relaxed geometry, computed with GGA-PBE.

The structure in extended XYZ format:
```
4
Lattice="-2.720 -0.659 3.728 -0.315 -4.228 1.937 1.918 -0.801 4.172" Properties=species:S:1:pos:R:3 pbc="T T T"
Al 0.000 0.000 0.000
Al -0.279 -1.422 2.459
Pt -0.837 -4.267 7.378
Cl -0.558 -2.844 4.919
```

Computed properties:
**Relative energy among the computed polymorphs**: 967 meV/atom
**E_form (uncorrected)**: 179.8 meV/atom



Crystalline InNiAu at its relaxed geometry, computed with GGA-PBE.

The structure in extended XYZ format:
```
6
Lattice="-1.947 2.317 -4.379 -2.932 -3.903 2.122 0.230 3.503 4.002" Properties=species:S:1:pos:R:3 pbc="T T T"
Ni -1.190 2.861 0.563
Au -0.217 1.702 2.752
In -1.305 1.111 -1.439
Au -3.745 0.316 -2.566
In -2.655 0.908 1.623
Ni -1.683 -0.249 3.813
```

Computed properties:
**Formation energy from the elements**: -0.133 eV per atom



Crystalline Nd2Al5Pd4 at its relaxed geometry, computed with GGA-PBE.

The structure in extended XYZ format:
```
11
Lattice="5.522 0.000 0.000 2.761 4.749 0.000 2.761 0.000 8.071" Properties=species:S:1:pos:R:3 pbc="T T T"
Al 6.902 2.375 4.035
Nd 5.522 0.000 2.059
Al 4.141 2.375 4.035
Al 2.761 0.000 0.000
Nd 2.761 0.000 6.011
Pd 5.522 3.229 2.110
Al 1.380 2.375 0.000
Pd 5.522 1.521 5.961
Pd 8.283 3.229 5.961
Al 4.141 2.375 0.000
Pd 2.761 1.521 2.110
```

Computed properties:
**Formation energy from the elements**: -0.822 eV per atom



Crystalline Pm5AlPb3 at its relaxed geometry, computed with GGA-PBE.

The structure in extended XYZ format:
```
18
Lattice="6.685 0.000 0.000 0.000 9.624 0.000 0.000 -4.812 8.334" Properties=species:S:1:pos:R:3 pbc="T T T"
Pm 1.671 7.075 0.000
Pm 1.671 -3.537 6.127
Pm 1.671 1.275 2.207
Pm 0.000 0.000 5.556
Pb 5.014 5.966 0.000
Al 3.342 0.000 0.000
Pb 1.671 2.983 5.167
Pm 0.000 4.812 2.778
Pb 5.014 6.641 5.167
Pm 5.014 2.549 0.000
Pm 5.014 8.349 2.207
Pm 3.342 4.812 2.778
Pm 3.342 0.000 5.556
Pb 5.014 1.829 3.168
Pb 1.671 -1.829 3.168
Al 0.000 0.000 0.000
Pm 5.014 3.537 6.127
Pb 1.671 3.658 0.000
```

Computed properties:
**Formation energy from the elements**: -0.518 eV per atom



Crystalline P4Os at its relaxed geometry, computed with GGA-PBE.

The structure in extended XYZ format:
```
5
Lattice="2.328 -3.382 2.394 -2.524 -3.574 -1.855 2.223 3.231 -2.685" Properties=species:S:1:pos:R:3 pbc="T T T"
P -0.066 -2.353 0.182
P -0.200 -1.911 -2.135
P 2.226 -1.814 -0.010
Os 0.000 0.000 0.000
P -0.130 -4.603 0.357
```

Computed properties:
**Relative energy among the computed polymorphs**: 1123 meV/atom
**Formation energy from the elements**: 0.743 eV per atom



Crystalline MgCrI2 at its relaxed geometry, computed with GGA-PBE.

The structure in extended XYZ format:
```
8
Lattice="-3.977 -2.258 -5.790 -2.621 -5.624 3.993 -7.756 -0.612 0.864" Properties=species:S:1:pos:R:3 pbc="T T T"
I -11.711 -7.614 -0.740
I -8.170 -3.155 -0.210
Mg -3.299 -3.941 -0.899
Cr 0.000 0.000 0.000
I -3.891 -3.846 2.255
Mg -6.838 -5.088 1.979
Cr -7.516 -3.405 -2.912
I -4.936 -2.371 -3.171
```

Computed properties:
**Relative energy among the computed polymorphs**: 0 meV/atom
**E_form (uncorrected)**: 89.0 meV/atom



Crystalline TbYRh4 at its relaxed geometry, computed with GGA-PBE.

The structure in extended XYZ format:
```
6
Lattice="5.346 0.000 0.000 2.673 4.630 0.000 2.673 1.543 4.365" Properties=species:S:1:pos:R:3 pbc="T T T"
Y 2.673 1.543 1.091
Tb 0.000 0.000 0.000
Rh 5.346 1.543 2.728
Rh 4.009 3.858 2.728
Rh 6.682 3.858 2.728
Rh 5.346 3.086 0.546
```

Computed properties:
**Formation energy from the elements**: -0.734 eV per atom



Crystalline LiSc3Rh2 at its relaxed geometry, computed with GGA-PBE.

The structure in extended XYZ format:
```
12
Lattice="3.231 0.000 0.000 0.000 4.667 0.000 0.000 0.000 13.949" Properties=species:S:1:pos:R:3 pbc="T T T"
Sc 1.614 2.333 9.401
Sc 1.620 2.333 0.000
Sc 1.614 2.333 4.549
Li 3.227 2.333 6.975
Rh 3.229 0.000 4.696
Rh 0.002 2.333 2.279
Sc 1.616 0.000 2.426
Rh 3.229 0.000 9.253
Li 0.004 0.000 0.000
Rh 0.002 2.333 11.671
Sc 1.616 0.000 11.523
Sc 1.611 0.000 6.975
```

Computed properties:
**Formation energy from the elements**: -0.659 eV per atom



no.,total moment (μB/cell),D(E_F) (states/eV/atom)
1,0.00,0.58
2,0.58,1.33
3,0.14,1.19
4,0.00,1.35
5,0.00,0.77
6,0.00,0.61
7,0.00,0.34
8,0.01,1.12
9,0.00,0.74
10,8.13,0.33
11,0.00,0.68
12,0.00,0.75